Record 1
4
Lattice="4.188 0.000 0.000 0.000 4.188 0.000 0.000 0.000 7.181" Properties=species:S:1:pos:R:3 comment="Sm2PuTh (GGA-PBE, optimized geometry)" de_polymorph_mev_per_atom=85 vol_a3_per_cell=125.9 spacegroup="No. 123" density_g_cm3=10.24 ef_mev_per_atom=228 pbc="T T T"
Sm 0.000 0.000 1.736
Sm 0.000 0.000 5.446
Pu 2.094 2.094 0.000
Th 2.094 2.094 3.591


Record 2
4
Lattice="1.779 1.027 11.688 -1.779 1.027 11.688 0.000 -2.054 11.688" Properties=species:S:1:pos:R:3 comment="Sm2PuTh (GGA-PBE, optimized geometry)" de_polymorph_mev_per_atom=3 vol_a3_per_cell=128.1 spacegroup="No. 160" density_g_cm3=10.07 ef_mev_per_atom=146 pbc="T T T"
Sm 0.000 0.000 0.000
Sm 0.000 0.000 5.939
Pu 0.000 0.000 20.505
Th 0.000 0.000 14.664


no.,total moment (μB/f.u.)
1,6.5
2,6.0